(1)
A crystal of MgIrOs2 relaxed with PBEsol. Source: Alexandria via LeMat-Bulk, functional SCAN.

* total DFT energy (no corrections): -54.67 eV/atom
* calculated formation energy: 285 meV per atom

a = 2.7304 Å, b = 4.6131 Å, c = 4.6865 Å
α = 90.00°, β = 94.83°, γ = 90.00°
Space group P2/m (No. 10)
Unique sites:
Mg (0.0000, 0.0000, 0.0000) x1
Ir (0.5000, 0.0000, 0.5000) x1
Os (0.2920, 0.5000, 0.7465) x2

(2)
A crystal of MgIr3Os relaxed with PBEsol. Source: Alexandria via LeMat-Bulk, functional SCAN.

* total DFT energy (no corrections): -55.85 eV/atom
* calculated formation energy: 2184 meV per atom

a = 4.3200 Å, b = 4.3200 Å, c = 4.3200 Å
α = 90.00°, β = 90.00°, γ = 90.00°
Space group Pm-3m (No. 221)
Unique sites:
Mg (0.0000, 0.0000, 0.0000) x1
Ir (0.0000, 0.0000, 0.5000) x3
Os (0.5000, 0.5000, 0.5000) x1

(3)
A crystal of MgIr2Os relaxed with PBEsol. Source: Alexandria via LeMat-Bulk, functional SCAN.

* total DFT energy (no corrections): -54.97 eV/atom
* calculated formation energy: -210 meV per atom

a = 2.7546 Å, b = 2.7546 Å, c = 7.6949 Å
α = 90.00°, β = 90.00°, γ = 90.00°
Space group P4/mmm (No. 123)
Unique sites:
Mg (0.0000, 0.0000, 0.0000) x1
Ir (0.5000, 0.5000, 0.2644) x2
Os (0.0000, 0.0000, 0.5000) x1

(4)
A crystal of MgIr2Os relaxed with PBEsol. Source: Alexandria via LeMat-Bulk, functional SCAN.

* total DFT energy (no corrections): -54.82 eV/atom
* calculated formation energy: -55 meV per atom

a = 9.0275 Å, b = 2.7115 Å, c = 4.7589 Å
α = 90.00°, β = 98.51°, γ = 90.00°
Space group C2/m (No. 12)
Unique sites:
Mg (0.0000, 0.0000, 0.0000) x2
Ir (0.2431, 0.0000, 0.7417) x4
Os (0.0000, 0.5000, 0.5000) x2

(5)
A crystal of MgIrOs2 relaxed with PBEsol. Source: Alexandria via LeMat-Bulk, functional SCAN.

* total DFT energy (no corrections): -54.87 eV/atom
* calculated formation energy: 90 meV per atom

a = 2.7426 Å, b = 4.3664 Å, c = 10.1993 Å
α = 90.00°, β = 90.00°, γ = 90.00°
Space group Immm (No. 71)
Unique sites:
Mg (0.0000, 0.0000, 0.0000) x2
Ir (0.0000, 0.0000, 0.5000) x2
Os (0.0000, 0.5000, 0.2166) x4

(6)
A crystal of Mg8P8Ir23 relaxed with PBEsol. Source: Alexandria via LeMat-Bulk, functional SCAN.

* total DFT energy (no corrections): -45.57 eV/atom
* calculated formation energy: -488 meV per atom

a = 8.5239 Å, b = 3.9404 Å, c = 16.9243 Å
α = 90.00°, β = 90.05°, γ = 90.00°
Space group P2/m (No. 10)
Unique sites:
Mg (0.0931, 0.0000, 0.1107) x2
Mg (0.2100, 0.0000, 0.2946) x2
Mg (0.2861, 0.0000, 0.7901) x2
Mg (0.4053, 0.0000, 0.6059) x2
P (0.1307, 0.5000, 0.8779) x2
P (0.2402, 0.5000, 0.6841) x2
P (0.2581, 0.5000, 0.1874) x2
P (0.3685, 0.5000, 0.3796) x2
Ir (0.0000, 0.5000, 0.0000) x1
Ir (0.0013, 0.5000, 0.2392) x2
Ir (0.0963, 0.5000, 0.3960) x2
Ir (0.0978, 0.0000, 0.6513) x2
Ir (0.1839, 0.5000, 0.5465) x2
Ir (0.2046, 0.0000, 0.9529) x2
Ir (0.2900, 0.0000, 0.4532) x2
Ir (0.3048, 0.5000, 0.0506) x2
Ir (0.3987, 0.5000, 0.8964) x2
Ir (0.4051, 0.0000, 0.1529) x2
Ir (0.4978, 0.5000, 0.7380) x2
Ir (0.5000, 0.0000, 0.0000) x1
Ir (0.5000, 0.5000, 0.5000) x1

(7)
A crystal of MgP2IrS relaxed with PBEsol. Source: Alexandria via LeMat-Bulk, functional SCAN.

* E above lowest polymorph: 0.547 eV/atom
* total DFT energy (no corrections): -19.79 eV/atom
* raw formation energy: 1.510 eV/atom

a = 4.5306 Å, b = 4.5306 Å, c = 4.4944 Å
α = 90.00°, β = 90.00°, γ = 90.00°
Space group P4/mmm (No. 123)
Unique sites:
Mg (0.0000, 0.0000, 0.0000) x1
P (0.0000, 0.5000, 0.0000) x2
Ir (0.5000, 0.5000, 0.5000) x1
S (0.0000, 0.0000, 0.5000) x1

(8)
A crystal of MgP2IrS relaxed with PBEsol. Source: Alexandria via LeMat-Bulk, functional SCAN.

* E above lowest polymorph: 0.000 eV/atom
* total DFT energy (no corrections): -20.34 eV/atom
* raw formation energy: 0.963 eV/atom

a = 4.3965 Å, b = 4.3965 Å, c = 4.3605 Å
α = 90.00°, β = 90.00°, γ = 90.00°
Space group P4/mmm (No. 123)
Unique sites:
Mg (0.0000, 0.0000, 0.0000) x1
P (0.0000, 0.5000, 0.5000) x2
Ir (0.5000, 0.5000, 0.0000) x1
S (0.0000, 0.0000, 0.5000) x1

(9)
A crystal of MgPIr2W relaxed with PBEsol. Source: Alexandria via LeMat-Bulk, functional SCAN.

* total DFT energy (no corrections): -45.04 eV/atom
* calculated formation energy: 414 meV per atom

a = 4.3810 Å, b = 4.3810 Å, c = 4.4327 Å
α = 90.00°, β = 90.00°, γ = 90.00°
Space group P4/mmm (No. 123)
Unique sites:
Mg (0.0000, 0.0000, 0.0000) x1
P (0.5000, 0.5000, 0.5000) x1
Ir (0.0000, 0.5000, 0.5000) x2
W (0.5000, 0.5000, 0.0000) x1

(10)
A crystal of MgIr2Pb relaxed with PBEsol. Source: Alexandria via LeMat-Bulk, functional SCAN.

* total DFT energy (no corrections): -55.65 eV/atom
* calculated formation energy: 89 meV per atom

a = 10.1616 Å, b = 3.0069 Å, c = 4.9639 Å
α = 90.00°, β = 115.80°, γ = 90.00°
Space group Cm (No. 8)
Unique sites:
Mg (0.0000, 0.0000, 0.0000) x2
Ir (0.0307, 0.5000, 0.4945) x2
Ir (0.2480, 0.0000, 0.8968) x2
Pb (0.2807, 0.5000, 0.3952) x2

(11)
A crystal of Mg2IrPb relaxed with PBEsol. Source: Alexandria via LeMat-Bulk, functional SCAN.

* total DFT energy (no corrections): -39.33 eV/atom
* calculated formation energy: -124 meV per atom

a = 6.4977 Å, b = 6.5055 Å, c = 3.4557 Å
α = 90.00°, β = 90.00°, γ = 90.00°
Space group Cmmm (No. 65)
Unique sites:
Mg (0.2500, 0.2500, 0.0000) x4
Ir (0.0000, 0.0000, 0.5000) x2
Pb (0.0000, 0.5000, 0.5000) x2

(12)
A crystal of MgIr2Pb relaxed with PBEsol. Source: Alexandria via LeMat-Bulk, functional SCAN.

* total DFT energy (no corrections): -55.42 eV/atom
* calculated formation energy: 322 meV per atom

a = 2.9528 Å, b = 2.9528 Å, c = 27.2121 Å
α = 90.00°, β = 90.00°, γ = 120.00°
Space group R-3m (No. 166, hexagonal axes)
Unique sites:
Mg (0.0000, 0.0000, 0.0000) x3
Ir (0.0000, 0.0000, 0.2561) x6
Pb (0.0000, 0.0000, 0.5000) x3

total DFT energy (no corrections) of number 2 (MgIr3Os)? -55.85 eV/atom

Among the records above, which one has the highest total DFT energy (no corrections)? number 7

The highest total DFT energy (no corrections) belongs to which entry? number 7